1.
ZrCrIrF2: relaxed, GGA-PBEsol.

Values from the calculation:
Calculated total energy: -36.6 eV for the cell shown
Formation energy (no corrections): -0.72 eV/atom

abc: 3.8941 3.8941 5.7196
angles: 90.00 90.00 90.00
With the nearest neighbours (Å) after each atom.
Element x y z (fractional)
Zr: 0.0000 0.0000 0.0000  4 F 1.95
Cr: 0.0000 0.0000 0.5000  4 Ir 2.75, 2 Zr 2.86
Ir: 0.5000 0.5000 0.5000  4 Cr 2.75
F: 0.5000 0.0000 0.0000  2 Zr 1.95
F: 0.0000 0.5000 0.0000  2 Zr 1.95

=====

2.
LiFe2Te: relaxed, GGA-PBEsol.

Values from the calculation:
Calculated total energy: -23.0 eV for the cell shown
Formation energy (no corrections): 0.11 eV/atom

abc: 3.7304 3.7304 4.0384
angles: 90.00 90.00 90.00
With the nearest neighbours (Å) after each atom.
Element x y z (fractional)
Fe: 0.0000 0.5000 0.0000  4 Fe 2.64, 4 Li 2.75, 4 Te 2.75
Fe: 0.5000 0.0000 0.0000  4 Fe 2.64, 4 Li 2.75, 4 Te 2.75
Te: 0.0000 0.0000 0.5000  4 Li 2.64, 8 Fe 2.75
Li: 0.5000 0.5000 0.5000  4 Te 2.64, 8 Fe 2.75

=====

3.
K2Ta: relaxed, GGA-PBEsol.

Values from the calculation:
DFT formation energy: 1.64 eV per atom
Calculated total energy: -9.9 eV for the cell shown
Relative energy among the computed polymorphs: 466 meV/atom

abc: 2.7960 6.6226 6.6226
angles: 90.00 90.00 90.00
With the nearest neighbours (Å) after each atom.
Element x y z (fractional)
K: 0.5000 0.5000 0.0000  2 K 2.80
K: 0.5000 0.0000 0.5000  2 K 2.80
Ta: 0.0000 0.0000 0.0000  2 Ta 2.80

=====

4.
KCrNiF6: relaxed, GGA-PBEsol.

Values from the calculation:
Calculated total energy: -100.6 eV for the cell shown
Formation energy (no corrections): -2.36 eV/atom

abc: 7.0377 7.1463 7.1729
angles: 120.12 90.00 119.50
With the nearest neighbours (Å) after each atom.
Element x y z (fractional)
F: 0.4260 0.2464 0.0776  1 Cr 1.90, 1 Ni 1.99
F: 0.4260 0.2464 0.6687  1 Cr 1.90, 1 Ni 1.99
Ni: 0.5000 0.5000 0.0000  6 F 1.95-1.99
F: 0.8204 0.2464 0.6687  1 Cr 1.90, 1 Ni 1.99
Cr: 0.5000 0.0000 0.5000  6 F 1.90-1.91
K: 0.9021 0.8042 0.6521  5 F 2.70-3.02
F: 0.8204 0.2464 0.0776  1 Cr 1.90, 1 Ni 1.99
F: 0.5660 0.1321 0.3160  2 Cr 1.91
F: 0.1796 0.7536 0.9224  1 Cr 1.90, 1 Ni 1.99
Cr: 0.5000 0.0000 0.0000  6 F 1.90-1.91
F: 0.1796 0.7536 0.3313  1 Cr 1.90, 1 Ni 1.99
F: 0.5740 0.7536 0.3313  1 Cr 1.90, 1 Ni 1.99
F: 0.1681 0.3362 0.9181  2 Ni 1.95
F: 0.4340 0.8679 0.6840  2 Cr 1.91
Ni: 0.0000 0.5000 0.0000  6 F 1.95-1.99
F: 0.8319 0.6638 0.0819  2 Ni 1.95
F: 0.5740 0.7536 0.9224  1 Cr 1.90, 1 Ni 1.99
K: 0.0979 0.1958 0.3479  5 F 2.70-3.02

=====

Spin magnetization (Bohr magnetons per cell)
2.97, 5.21, 0.00, 10.04